Entry 1:
BaBi3Pd after structural relaxation. Source: Alexandria via LeMat-Bulk, functional GGA-PBE.

Lattice parameters (Å, degrees): 5.5427 5.5427 5.5427 90.00 90.00 90.00
Closest atoms and distances in Å follow each position.
Fractional positions:
Bi: 0.0000 0.5000 0.0000  2 Pd 2.77
Bi: 0.0000 0.0000 0.5000  2 Pd 2.77
Bi: 0.5000 0.0000 0.0000  2 Pd 2.77
Ba: 0.5000 0.5000 0.5000  12 Bi 3.92
Pd: 0.0000 0.0000 0.0000  6 Bi 2.77

Output
The energy relative to the lowest polymorph listed for this composition comes out at 0.183 eV/atom. As for the size of the total moment: 0.0 μB per formula unit. The calculation puts the formation energy at -0.300 eV per atom.

***

Entry 2:
BaBi2Pd after structural relaxation. Source: Alexandria via LeMat-Bulk, functional GGA-PBE.

Lattice parameters (Å, degrees): 5.5739 5.5739 10.2875 74.28 74.28 90.00
Closest atoms and distances in Å follow each position.
Fractional positions:
Pd: 0.5000 0.5000 0.0000  4 Bi 2.83
Pd: 0.2500 0.7500 0.5000  4 Bi 2.83
Bi: 0.2562 0.6250 0.2500  2 Pd 2.83, 2 Bi 3.09
Bi: 0.4938 0.1250 0.2500  2 Pd 2.83, 2 Bi 3.09
Bi: 0.3750 0.5062 0.7500  2 Pd 2.83, 2 Bi 3.09
Bi: 0.8750 0.7438 0.7500  2 Pd 2.83, 2 Bi 3.09
Ba: 0.0000 0.0000 0.0000  4 Bi 3.48
Ba: 0.7500 0.2500 0.5000  4 Bi 3.48

Output
As for the size of the total moment: 0.0 μB per formula unit. The calculation puts the formation energy at -0.366 eV per atom.

***

Entry 3:
BaBi2Pd2 after structural relaxation. Source: Alexandria via LeMat-Bulk, functional GGA-PBE.

Lattice parameters (Å, degrees): 8.5390 8.5390 3.5491 90.00 90.00 90.00
Closest atoms and distances in Å follow each position.
Fractional positions:
Bi: 0.6586 0.8414 0.5000  6 Pd 2.99-3.20
Bi: 0.3414 0.1586 0.5000  6 Pd 2.99-3.20
Bi: 0.1586 0.6586 0.5000  6 Pd 2.99-3.20
Bi: 0.8414 0.3414 0.5000  6 Pd 2.99-3.20
Pd: 0.3793 0.8793 0.0000  1 Pd 2.91, 6 Bi 2.99-3.20
Pd: 0.8793 0.6207 0.0000  1 Pd 2.91, 6 Bi 2.99-3.20
Pd: 0.6207 0.1207 0.0000  1 Pd 2.91, 6 Bi 2.99-3.20
Pd: 0.1207 0.3793 0.0000  1 Pd 2.91, 6 Bi 2.99-3.20
Ba: 0.5000 0.5000 0.0000  4 Pd 3.40, 2 Ba 3.55, 8 Bi 3.67
Ba: 0.0000 0.0000 0.0000  4 Pd 3.40, 2 Ba 3.55, 8 Bi 3.67

Output
As for the size of the total moment: 0.0 μB per formula unit. The calculation puts the formation energy at -0.384 eV per atom.

***

Entry 4:
BaBi4Pd12 after structural relaxation. Source: Alexandria via LeMat-Bulk, functional GGA-PBE.

Lattice parameters (Å, degrees): 7.9588 7.9588 7.9588 109.47 109.47 109.47
Closest atoms and distances in Å follow each position.
Fractional positions:
Bi: 0.0000 0.5000 0.0000  6 Pd 2.67
Bi: 0.0000 0.0000 0.5000  6 Pd 2.67
Bi: 0.5000 0.0000 0.0000  6 Pd 2.67
Bi: 0.5000 0.5000 0.5000  6 Pd 2.67
Pd: 0.8511 0.3568 0.2079  2 Pd 2.63-2.74, 2 Bi 2.67
Pd: 0.4944 0.8511 0.6432  2 Pd 2.63-2.74, 2 Bi 2.67
Pd: 0.3568 0.5056 0.1489  2 Pd 2.63-2.74, 2 Bi 2.67
Pd: 0.1489 0.6432 0.7921  2 Pd 2.63-2.74, 2 Bi 2.67
Pd: 0.6432 0.4944 0.8511  2 Pd 2.63-2.74, 2 Bi 2.67
Pd: 0.6432 0.7921 0.1489  2 Pd 2.63-2.74, 2 Bi 2.67
Pd: 0.1489 0.3568 0.5056  2 Pd 2.63-2.74, 2 Bi 2.67
Pd: 0.8511 0.6432 0.4944  2 Pd 2.63-2.74, 2 Bi 2.67
Pd: 0.7921 0.1489 0.6432  2 Pd 2.63-2.74, 2 Bi 2.67
Pd: 0.3568 0.2079 0.8511  2 Pd 2.63-2.74, 2 Bi 2.67
Pd: 0.5056 0.1489 0.3568  2 Pd 2.63-2.74, 2 Bi 2.67
Pd: 0.2079 0.8511 0.3568  2 Pd 2.63-2.74, 2 Bi 2.67
Ba: 0.0000 0.0000 0.0000  12 Pd 3.55

Output
As for the size of the total moment: 0.0 μB per formula unit. The calculation puts the formation energy at 0.033 eV per atom.

***

Entry 5:
BaBi3Pd after structural relaxation. Source: Alexandria via LeMat-Bulk, functional GGA-PBE.

Lattice parameters (Å, degrees): 6.3098 6.3098 6.3098 90.00 90.00 90.00
Closest atoms and distances in Å follow each position.
Fractional positions:
Bi: 0.0000 0.5000 0.0000  2 Ba 3.15
Bi: 0.0000 0.0000 0.5000  2 Ba 3.15
Bi: 0.5000 0.0000 0.0000  2 Ba 3.15
Ba: 0.0000 0.0000 0.0000  6 Bi 3.15
Pd: 0.5000 0.5000 0.5000  12 Bi 4.46

Output
The energy relative to the lowest polymorph listed for this composition comes out at 1.709 eV/atom. As for the size of the total moment: 0.0 μB per formula unit. The calculation puts the formation energy at 1.225 eV per atom.

***

Entry 6:
Ba4Bi8Pd after structural relaxation. Source: Alexandria via LeMat-Bulk, functional GGA-PBE.

Lattice parameters (Å, degrees): 4.8178 5.1487 18.8700 90.00 90.00 90.00
Closest atoms and distances in Å follow each position.
Fractional positions:
Bi: 0.0000 0.0000 0.7439  4 Bi 3.53, 4 Ba 3.65-3.71
Bi: 0.5000 0.0000 0.5710  2 Bi 3.19
Bi: 0.5000 0.0000 0.2412  2 Pd 2.75
Bi: 0.0000 0.0000 0.4599  1 Pd 2.81
Bi: 0.5000 0.5000 0.0493  2 Bi 3.20
Bi: 0.5000 0.5000 0.7554  4 Bi 3.53, 4 Ba 3.66-3.70
Bi: 0.0000 0.5000 0.2412  2 Pd 2.89
Bi: 0.0000 0.5000 0.9378  2 Bi 3.20
Ba: 0.5000 0.5000 0.3974  8 Bi 3.72-3.91, 4 Pd 3.88
Ba: 0.0000 0.5000 0.6065  10 Bi 3.59-3.78
Ba: 0.0000 0.0000 0.0953  10 Bi 3.63-3.93
Ba: 0.5000 0.0000 0.8931  10 Bi 3.63-3.91
Pd: 0.0000 0.0000 0.3111  5 Bi 2.75-2.89

Output
As for the size of the total moment: 0.0 μB per formula unit. The calculation puts the formation energy at -0.624 eV per atom.

***

Entry 7:
Ba3Bi4Pd4 after structural relaxation. Source: Alexandria via LeMat-Bulk, functional GGA-PBE.

Lattice parameters (Å, degrees): 4.8883 4.9374 14.2119 100.00 99.90 90.00
Closest atoms and distances in Å follow each position.
Fractional positions:
Pd: 0.1007 0.6007 0.2013  3 Bi 2.73-2.76
Pd: 0.8993 0.3993 0.7987  3 Bi 2.73-2.76
Pd: 0.2487 0.2487 0.4973  4 Bi 2.80-2.81
Pd: 0.7513 0.7513 0.5027  4 Bi 2.80-2.81
Bi: 0.2008 0.7008 0.4015  5 Pd 2.76-2.81
Bi: 0.7992 0.2992 0.5985  5 Pd 2.76-2.81
Bi: 0.5566 0.5566 0.1131  2 Pd 2.73
Bi: 0.4434 0.4434 0.8869  2 Pd 2.73
Ba: 0.0000 0.0000 0.0000  4 Pd 3.71, 8 Bi 3.81
Ba: 0.3471 0.8471 0.6942  8 Pd 3.60-3.76, 6 Bi 3.63-3.72
Ba: 0.6529 0.1529 0.3058  8 Pd 3.60-3.76, 6 Bi 3.63-3.72

Output
The energy relative to the lowest polymorph listed for this composition comes out at 0.000 eV/atom. As for the size of the total moment: 0.0 μB per formula unit. The calculation puts the formation energy at -0.679 eV per atom.

***

Entry 8:
Ba4Bi2Pd after structural relaxation. Source: Alexandria via LeMat-Bulk, functional GGA-PBE.

Lattice parameters (Å, degrees): 5.8532 5.8532 10.2188 106.64 106.64 90.00
Closest atoms and distances in Å follow each position.
Fractional positions:
Ba: 0.0000 0.5000 0.0000  2 Pd 2.93
Ba: 0.1798 0.1798 0.3596  1 Pd 3.36, 1 Bi 3.51
Ba: 0.5000 0.0000 0.0000  2 Pd 2.93
Ba: 0.8202 0.8202 0.6404  1 Pd 3.36, 1 Bi 3.51
Pd: 0.0000 0.0000 0.0000  4 Ba 2.93
Bi: 0.3674 0.3674 0.7348  5 Ba 3.51-3.83
Bi: 0.6326 0.6326 0.2652  5 Ba 3.51-3.83

Output
As for the size of the total moment: 0.0 μB per formula unit. The calculation puts the formation energy at -0.699 eV per atom.

***

Entry 9:
BaBi3Pd after structural relaxation. Source: Alexandria via LeMat-Bulk, functional GGA-PBE.

Lattice parameters (Å, degrees): 4.9210 5.1819 13.2646 101.26 90.00 90.00
Closest atoms and distances in Å follow each position.
Fractional positions:
Pd: 0.0000 0.6108 0.2216  5 Bi 2.75-2.90
Pd: 0.0000 0.3892 0.7784  5 Bi 2.75-2.90
Bi: 0.0000 0.7167 0.4333  1 Pd 2.75
Bi: 0.0000 0.0610 0.1219  2 Pd 2.90, 1 Bi 3.17
Bi: 0.0000 0.9390 0.8781  2 Pd 2.90, 1 Bi 3.17
Bi: 0.5000 0.4406 0.8812  2 Pd 2.80, 1 Bi 3.09
Bi: 0.0000 0.2833 0.5667  1 Pd 2.75
Bi: 0.5000 0.5594 0.1188  2 Pd 2.80, 1 Bi 3.09
Ba: 0.5000 0.1704 0.3407  10 Bi 3.76-3.88, 4 Pd 3.89
Ba: 0.5000 0.8296 0.6593  10 Bi 3.76-3.88, 4 Pd 3.89

Output
The energy relative to the lowest polymorph listed for this composition comes out at 0.035 eV/atom. As for the size of the total moment: 0.0 μB per formula unit. The calculation puts the formation energy at -0.449 eV per atom.

***

Entry 10:
Ba3Bi2Pd9 after structural relaxation. Source: Alexandria via LeMat-Bulk, functional GGA-PBE.

Lattice parameters (Å, degrees): 4.6057 9.1126 9.1126 71.56 75.36 75.36
Closest atoms and distances in Å follow each position.
Fractional positions:
Ba: 0.2923 0.7077 0.7077  6 Pd 3.16-3.42
Ba: 0.0000 0.0000 0.0000  4 Pd 3.27
Ba: 0.7077 0.2923 0.2923  6 Pd 3.16-3.42
Bi: 0.5000 0.7018 0.2982  6 Pd 2.77-2.97
Bi: 0.5000 0.2982 0.7018  6 Pd 2.77-2.97
Pd: 0.0000 0.5000 0.5000  4 Pd 2.87, 4 Bi 3.15
Pd: 0.1083 0.6201 0.1634  5 Pd 2.73-3.04, 2 Bi 2.77
Pd: 0.8917 0.3799 0.8366  5 Pd 2.73-3.04, 2 Bi 2.77
Pd: 0.1083 0.1634 0.6201  5 Pd 2.73-3.04, 2 Bi 2.77
Pd: 0.6986 0.5981 0.0047  5 Pd 2.73-2.89, 1 Bi 2.97
Pd: 0.8917 0.8366 0.3799  5 Pd 2.73-3.04, 2 Bi 2.77
Pd: 0.3014 0.9953 0.4019  5 Pd 2.73-2.89, 1 Bi 2.97
Pd: 0.6986 0.0047 0.5981  5 Pd 2.73-2.89, 1 Bi 2.97
Pd: 0.3014 0.4019 0.9953  5 Pd 2.73-2.89, 1 Bi 2.97

Output
As for the size of the total moment: 0.0 μB per formula unit. The calculation puts the formation energy at -0.423 eV per atom.

***

Question: Among the records above, which one has the lowest formation energy?
Answer: Ba4Bi2Pd